No. 1
The following is a DFT calculation (GGA-PBE) of an optimized crystal structure of Be3CrSe.

The calculation puts the magnetic moment at 0.0000 μB/atom. For the density, the calculation gives 3.6 Mg/m³. For the formation energy (no corrections), the calculation gives 1.444 eV per atom.

Unit cell a=4.1635 b=4.1635 c=4.1635 alpha=90.00 beta=90.00 gamma=90.00
Fractional coordinates of all 5 atoms:
Be 0.0000 0.0000 0.5000
Be 0.0000 0.5000 0.0000
Be 0.5000 0.0000 0.0000
Cr 0.5000 0.5000 0.5000
Se 0.0000 0.0000 0.0000


No. 2
The following is a DFT calculation (GGA-PBE) of an optimized crystal structure of SmTaGa.

The calculation puts the magnetic moment at 0.0000 μB/atom. For the density, the calculation gives 9.7 Mg/m³. The formation energy comes out at -0.30 eV per atom.

Unit cell a=4.0674 b=4.0674 c=8.3108 alpha=90.00 beta=90.00 gamma=90.00
Fractional coordinates of all 6 atoms:
Sm 0.2500 0.2500 0.1614
Sm 0.7500 0.7500 0.8386
Ta 0.2500 0.7500 0.5000
Ta 0.7500 0.2500 0.5000
Ga 0.2500 0.2500 0.7354
Ga 0.7500 0.7500 0.2646


No. 3
The following is a DFT calculation (GGA-PBE) of an optimized crystal structure of Bi3BrCl.

The calculation puts the magnetic moment at 0.0000 μB/atom. For the density, the calculation gives 7.0 Mg/m³. For the formation energy (no corrections), the calculation gives 0.569 eV per atom.

Unit cell a=5.5927 b=5.5927 c=5.5927 alpha=90.00 beta=90.00 gamma=90.00
Fractional coordinates of all 5 atoms:
Bi 0.0000 0.0000 0.5000
Bi 0.0000 0.5000 0.0000
Bi 0.5000 0.0000 0.0000
Br 0.5000 0.5000 0.5000
Cl 0.0000 0.0000 0.0000


No. 4
The following is a DFT calculation (GGA-PBE) of an optimized crystal structure of Pm2TlHg5.

The calculation puts the magnetic moment at 0.0000 μB/atom. For the density, the calculation gives 12.0 Mg/m³. The formation energy comes out at -0.33 eV per atom.

Unit cell a=6.5911 b=13.1949 c=4.7797 alpha=90.00 beta=90.00 gamma=90.00
Fractional coordinates of all 16 atoms:
Pm 0.2480 0.1258 0.0000
Pm 0.2520 0.6258 0.0000
Pm 0.7480 0.3742 0.0000
Pm 0.7520 0.8742 0.0000
Tl 0.0000 0.5000 0.5000
Tl 0.5000 0.0000 0.5000
Hg 0.0000 0.0000 0.5000
Hg 0.0017 0.7506 0.5000
Hg 0.2486 0.8751 0.0000
Hg 0.2514 0.3751 0.0000
Hg 0.4983 0.2506 0.5000
Hg 0.5000 0.5000 0.5000
Hg 0.5017 0.7494 0.5000
Hg 0.7486 0.6249 0.0000
Hg 0.7514 0.1249 0.0000
Hg 0.9983 0.2494 0.5000